# ZnBr2, optimized geometry, DFT PBE
data_ZnBr2
_chemical_formula_sum 'Zn4 Br8'
_cell_length_a 3.404
_cell_length_b 3.404
_cell_length_c 31.196
_cell_angle_alpha 90.00
_cell_angle_beta 90.00
_cell_angle_gamma 90.00
_space_group_name_H-M_alt 'I 41/a m d'
_space_group_IT_number 141
loop_
_space_group_symop_operation_xyz
'x,y,z'
'-x,-y,-z'
'-y+1/4,x+3/4,z+1/4'
'y+1/4,-x+3/4,-z+1/4'
'-x+1/2,-y,z+1/2'
'x+1/2,y,-z+1/2'
'y+1/4,-x+1/4,z+3/4'
'-y+1/4,x+1/4,-z+3/4'
'x,-y,-z'
'-x,y,z'
'-y+1/4,-x+1/4,-z+3/4'
'y+1/4,x+1/4,z+3/4'
'-x+1/2,y,-z+1/2'
'x+1/2,-y,z+1/2'
'y+1/4,x+3/4,-z+1/4'
'-y+1/4,-x+3/4,z+1/4'
'x+1/2,y+1/2,z+1/2'
'-x+1/2,-y+1/2,-z+1/2'
'-y+3/4,x+1/4,z+3/4'
'y+3/4,-x+1/4,-z+3/4'
'-x,-y+1/2,z'
'x,y+1/2,-z'
'y+3/4,-x+3/4,z+1/4'
'-y+3/4,x+3/4,-z+1/4'
'x+1/2,-y+1/2,-z+1/2'
'-x+1/2,y+1/2,z+1/2'
'-y+3/4,-x+3/4,-z+1/4'
'y+3/4,x+3/4,z+1/4'
'-x,y+1/2,-z'
'x,-y+1/2,z'
'y+3/4,x+1/4,-z+3/4'
'-y+3/4,-x+1/4,z+3/4'
loop_
_atom_site_label
_atom_site_type_symbol
_atom_site_fract_x
_atom_site_fract_y
_atom_site_fract_z
Zn1 Zn 0.000 0.250 0.375
Br1 Br 0.000 0.250 0.823
# - Calculated density: 4.14 g/cm3
# - Volume: 361.5 Å³/cell
# - Size of the total moment: 0.0 μB/f.u.
# - Raw formation energy: -0.254 eV/atom